[1]
Entry from the Alexandria database: a geometry-optimized Cu2NiRh structure (PBE).

energy relative to the lowest polymorph listed for this composition: 0.0223 eV/atom
symmetry: Cm
VASP energy: -5.268 eV/atom
ΔH_f (0 K): 0.063 eV/atom

Lattice parameters (Å, degrees): 4.480 4.480 4.468 79.43 79.43 34.35
Fractional coordinates of all 4 atoms:
1 Ni 0.500 0.500 0.489
2 Rh 0.247 0.247 0.267
3 Cu 0.002 0.002 0.984
4 Cu 0.752 0.752 0.760

---

[2]
Entry from the Alexandria database: a geometry-optimized CuNi3Rh structure (PBE).

energy relative to the lowest polymorph listed for this composition: 1.1325 eV/atom
symmetry: Pm-3m
VASP energy: -4.584 eV/atom
ΔH_f (0 K): 1.174 eV/atom

Lattice parameters (Å, degrees): 4.218 4.218 4.218 90.00 90.00 90.00
Fractional coordinates of all 5 atoms:
1 Ni 0.000 0.500 0.000
2 Ni 0.000 0.000 0.500
3 Ni 0.500 0.000 0.000
4 Rh 0.500 0.500 0.500
5 Cu 0.000 0.000 0.000

---

[3]
Entry from the Alexandria database: a geometry-optimized Cu2NiRh structure (PBE).

energy relative to the lowest polymorph listed for this composition: 0.0014 eV/atom
symmetry: C2/m
VASP energy: -5.289 eV/atom
ΔH_f (0 K): 0.042 eV/atom

Lattice parameters (Å, degrees): 4.519 4.519 4.463 79.83 79.83 33.41
Fractional coordinates of all 4 atoms:
1 Ni 0.750 0.750 0.750
2 Rh 0.250 0.250 0.250
3 Cu 0.003 0.003 0.993
4 Cu 0.497 0.497 0.507

---

[4]
Entry from the Alexandria database: a geometry-optimized Cu2NiRh structure (PBE).

energy relative to the lowest polymorph listed for this composition: 0.0409 eV/atom
symmetry: Immm
VASP energy: -5.249 eV/atom
ΔH_f (0 K): 0.082 eV/atom

Lattice parameters (Å, degrees): 4.989 4.989 4.989 148.90 128.78 61.14
Fractional coordinates of all 4 atoms:
1 Ni 0.750 0.250 0.500
2 Rh 0.250 0.750 0.500
3 Cu 0.990 0.990 0.000
4 Cu 0.510 0.510 0.000

---

[5]
Entry from the Alexandria database: a geometry-optimized Cu7Ni4Rh structure (PBE).

symmetry: P-1
VASP energy: -4.889 eV/atom
ΔH_f (0 K): 0.040 eV/atom

Lattice parameters (Å, degrees): 5.146 6.774 6.770 68.76 79.13 40.50
Fractional coordinates of all 12 atoms:
1 Cu 0.755 0.501 0.001
2 Cu 0.245 0.499 0.999
3 Cu 0.005 0.334 0.663
4 Cu 0.995 0.666 0.337
5 Cu 0.256 0.829 0.663
6 Cu 0.500 0.000 0.000
7 Cu 0.744 0.171 0.337
8 Ni 0.503 0.664 0.336
9 Ni 0.497 0.336 0.664
10 Ni 0.752 0.836 0.664
11 Ni 0.248 0.164 0.336
12 Rh 0.000 0.000 0.000

---

[6]
Entry from the Alexandria database: a geometry-optimized CuNi3Rh3 structure (PBE).

energy relative to the lowest polymorph listed for this composition: 0.2021 eV/atom
symmetry: R-3
VASP energy: -5.931 eV/atom
ΔH_f (0 K): 0.282 eV/atom

Lattice parameters (Å, degrees): 5.907 5.907 7.109 65.45 65.45 60.00
Fractional coordinates of all 14 atoms:
1 Cu 0.308 0.308 0.075
2 Cu 0.692 0.692 0.925
3 Ni 0.589 0.758 0.589
4 Ni 0.758 0.063 0.589
5 Ni 0.063 0.589 0.589
6 Ni 0.937 0.411 0.411
7 Ni 0.242 0.937 0.411
8 Ni 0.411 0.242 0.411
9 Rh 0.233 0.717 0.182
10 Rh 0.868 0.233 0.182
11 Rh 0.717 0.868 0.182
12 Rh 0.283 0.132 0.818
13 Rh 0.132 0.767 0.818
14 Rh 0.767 0.283 0.818

---

[7]
Entry from the Alexandria database: a geometry-optimized CuNi5Rh structure (PBE).

energy relative to the lowest polymorph listed for this composition: 0.0000 eV/atom
symmetry: Imma
VASP energy: -5.530 eV/atom
ΔH_f (0 K): 0.235 eV/atom

Lattice parameters (Å, degrees): 6.146 6.146 6.146 108.46 103.59 116.64
Fractional coordinates of all 14 atoms:
1 Cu 0.297 0.547 0.250
2 Cu 0.703 0.453 0.750
3 Ni 0.233 0.751 0.982
4 Ni 0.500 0.751 0.751
5 Ni 0.230 0.249 0.482
6 Ni 0.712 0.962 0.250
7 Ni 0.000 0.249 0.749
8 Ni 0.000 0.751 0.251
9 Ni 0.288 0.038 0.750
10 Ni 0.770 0.751 0.518
11 Ni 0.500 0.249 0.249
12 Ni 0.767 0.249 0.018
13 Rh 0.000 0.000 0.000
14 Rh 0.000 0.500 0.500

---

[8]
Entry from the Alexandria database: a geometry-optimized Cu2NiRh structure (PBE).

energy relative to the lowest polymorph listed for this composition: 0.0463 eV/atom
symmetry: Pmmm
VASP energy: -5.244 eV/atom
ΔH_f (0 K): 0.087 eV/atom

Lattice parameters (Å, degrees): 2.690 4.292 4.306 90.00 90.00 90.00
Fractional coordinates of all 4 atoms:
1 Ni 0.500 0.000 0.500
2 Rh 0.000 0.500 0.500
3 Cu 0.000 0.000 0.000
4 Cu 0.500 0.500 0.000

---

[9]
Entry from the Alexandria database: a geometry-optimized Cu2NiRh structure (PBE).

energy relative to the lowest polymorph listed for this composition: 0.4528 eV/atom
symmetry: I-42d
VASP energy: -4.837 eV/atom
ΔH_f (0 K): 0.494 eV/atom

Lattice parameters (Å, degrees): 6.598 6.598 5.280 51.33 51.33 90.00
Fractional coordinates of all 8 atoms:
1 Ni 0.500 0.500 0.000
2 Ni 0.250 0.750 0.500
3 Rh 0.000 0.000 0.000
4 Rh 0.750 0.250 0.500
5 Cu 0.608 0.125 0.250
6 Cu 0.142 0.625 0.250
7 Cu 0.375 0.392 0.750
8 Cu 0.875 0.858 0.750

---

[10]
Entry from the Alexandria database: a geometry-optimized CuNi3Rh3 structure (PBE).

energy relative to the lowest polymorph listed for this composition: 0.0000 eV/atom
symmetry: P6_3/m
VASP energy: -6.133 eV/atom
ΔH_f (0 K): 0.080 eV/atom

Lattice parameters (Å, degrees): 4.275 6.918 6.918 120.00 90.00 90.00
Fractional coordinates of all 14 atoms:
1 Cu 0.750 0.333 0.667
2 Cu 0.250 0.667 0.333
3 Ni 0.750 0.045 0.228
4 Ni 0.750 0.183 0.955
5 Ni 0.750 0.772 0.817
6 Ni 0.250 0.955 0.772
7 Ni 0.250 0.817 0.045
8 Ni 0.250 0.228 0.183
9 Rh 0.750 0.469 0.375
10 Rh 0.750 0.906 0.531
11 Rh 0.750 0.625 0.094
12 Rh 0.250 0.531 0.625
13 Rh 0.250 0.094 0.469
14 Rh 0.250 0.375 0.906